The following is a DFT calculation (PBE) of an optimized crystal structure of LiHg.

Cell lengths 3.314, 3.314, 8.638 Å; angles 90.00, 90.00, 120.00 degrees
Fractional positions:
Hg 0.333 0.667 0.250
Hg 0.667 0.333 0.750
Li 0.000 0.000 0.000
Li 0.000 0.000 0.500

Calculated values
The value obtained for the total DFT energy (no corrections) is -1.352 eV/atom. The value obtained for the total magnetic moment is 0.000 μB per atom. The formation energy is -0.24 eV per atom.